# BaCoAu4

An optimized crystal structure of BaCoAu4 (PBE, the Alexandria database).

Its mass density is 12490 kg/m3. For the uncorrected energy, the calculation gives -21.94 eV per formula unit. As for the formation enthalpy at 0 K: 0.034 eV/atom.

CIF file:
```
data_BaCoAu4
_chemical_formula_sum 'Ba4 Co4 Au16'
_cell_length_a 8.0588
_cell_length_b 8.0588
_cell_length_c 8.0588
_cell_angle_alpha 90.00
_cell_angle_beta 90.00
_cell_angle_gamma 90.00
_symmetry_space_group_name_H-M 'F -4 3 m'
_symmetry_Int_Tables_number 216
_symmetry_space_group_name_Hall 'F -4 2 3'
loop_
_atom_site_label
_atom_site_fract_x
_atom_site_fract_y
_atom_site_fract_z
Ba1 0.0000 0.0000 0.0000
Co1 0.2500 0.2500 0.7500
Au1 0.1238 0.1238 0.3762
```